Record 1
A relaxed Hf5Te crystal, computed with PBE.

N(E_F)   15.20 states/eV/cell
Theoretical density   12.799 g cm⁻³
VASP energy   -8.9121 eV/atom
Raw formation energy   -0.6 eV/f.u.

Structure (CIF):
```
data_Hf5Te
_chemical_formula_sum 'Hf10 Te2'
_space_group_name_H-M_alt 'C m m m'
_space_group_IT_number 65
_space_group_name_Hall '-C 2 2'
_cell_length_a 4.3382
_cell_length_b 14.0471
_cell_length_c 4.3434
_cell_angle_alpha 90.00
_cell_angle_beta 90.00
_cell_angle_gamma 90.00
loop_
_atom_site_label
_atom_site_type_symbol
_atom_site_fract_x
_atom_site_fract_y
_atom_site_fract_z
Hf1 Hf 0.0000 0.0000 0.0000
Hf2 Hf 0.0000 0.1702 0.5000
Hf3 Hf 0.0000 0.3304 0.0000
Te1 Te 0.0000 0.5000 0.5000
```

---

Record 2
A relaxed Hf2Te5 crystal, computed with PBE.

N(E_F)   6.01 states/eV/cell
Theoretical density   7.133 g cm⁻³
VASP energy   -5.6363 eV/atom
Raw formation energy   -3.8 eV/f.u.

Structure (CIF):
```
data_Hf2Te5
_chemical_formula_sum 'Hf4 Te10'
_space_group_name_H-M_alt 'C 1 2/m 1'
_space_group_IT_number 12
_space_group_name_Hall '-C 2y'
_cell_length_a 13.5551
_cell_length_b 3.9752
_cell_length_c 9.1136
_cell_angle_alpha 90.00
_cell_angle_beta 109.37
_cell_angle_gamma 90.00
loop_
_atom_site_label
_atom_site_type_symbol
_atom_site_fract_x
_atom_site_fract_y
_atom_site_fract_z
Hf1 Hf 0.1212 0.0000 0.4012
Te1 Te 0.0000 0.5000 0.5000
Te2 Te 0.0502 0.0000 0.8919
Te3 Te 0.2280 0.5000 0.2841
```

---

Record 3
A relaxed Hf3Te2 crystal, computed with PBE.

N(E_F)   5.69 states/eV/cell
Theoretical density   10.278 g cm⁻³
VASP energy   -7.8355 eV/atom
Raw formation energy   -3.0 eV/f.u.

Structure (CIF):
```
data_Hf3Te2
_chemical_formula_sum 'Hf6 Te4'
_space_group_name_H-M_alt 'I 4/m m m'
_space_group_IT_number 139
_space_group_name_Hall '-I 4 2'
_cell_length_a 3.7036
_cell_length_b 3.7036
_cell_length_c 18.6256
_cell_angle_alpha 90.00
_cell_angle_beta 90.00
_cell_angle_gamma 90.00
loop_
_atom_site_label
_atom_site_type_symbol
_atom_site_fract_x
_atom_site_fract_y
_atom_site_fract_z
Hf1 Hf 0.0000 0.0000 0.0000
Hf2 Hf 0.0000 0.0000 0.4081
Te1 Te 0.0000 0.0000 0.1636
```

---

Record 4
A relaxed HfTe5 crystal, computed with PBE.

Theoretical density   6.338 g cm⁻³
VASP energy   -4.6894 eV/atom
Raw formation energy   -2.5 eV/f.u.

Structure (CIF):
```
data_HfTe5
_chemical_formula_sum 'Hf2 Te10'
_space_group_name_H-M_alt 'C 1 m 1'
_space_group_IT_number 8
_space_group_name_Hall 'C -2y'
_cell_length_a 14.1518
_cell_length_b 3.9928
_cell_length_c 9.4198
_cell_angle_alpha 90.00
_cell_angle_beta 126.51
_cell_angle_gamma 90.00
loop_
_atom_site_label
_atom_site_type_symbol
_atom_site_fract_x
_atom_site_fract_y
_atom_site_fract_z
Hf1 Hf 0.0000 0.0000 0.0000
Te1 Te 0.0067 0.5000 0.2393
Te2 Te 0.0682 0.0000 0.7581
Te3 Te 0.1895 0.5000 0.1881
Te4 Te 0.2607 0.5000 0.9318
Te5 Te 0.3747 0.0000 0.7059
```

---

Record 5
A relaxed Hf5Te4 crystal, computed with PBE.

N(E_F)   9.27 states/eV/cell
Theoretical density   10.655 g cm⁻³
VASP energy   -7.5746 eV/atom
Raw formation energy   -5.8 eV/f.u.

Structure (CIF):
```
data_Hf5Te4
_chemical_formula_sum 'Hf10 Te8'
_space_group_name_H-M_alt 'I 4/m'
_space_group_IT_number 87
_space_group_name_Hall '-I 4'
_cell_length_a 10.7536
_cell_length_b 10.7536
_cell_length_c 3.7813
_cell_angle_alpha 90.00
_cell_angle_beta 90.00
_cell_angle_gamma 90.00
loop_
_atom_site_label
_atom_site_type_symbol
_atom_site_fract_x
_atom_site_fract_y
_atom_site_fract_z
Hf1 Hf 0.0000 0.0000 0.0000
Hf2 Hf 0.1313 0.1891 0.5000
Te1 Te 0.0517 0.7141 0.0000
```

---

Record 6
A relaxed HfTe4 crystal, computed with PBE.

N(E_F)   6.66 states/eV/cell
Theoretical density   6.742 g cm⁻³
VASP energy   -4.4447 eV/atom
Raw formation energy   0.3 eV/f.u.

Structure (CIF):
```
data_HfTe4
_chemical_formula_sum 'Hf1 Te4'
_space_group_name_H-M_alt 'P m -3 m'
_space_group_IT_number 221
_space_group_name_Hall '-P 4 2 3'
_cell_length_a 5.5362
_cell_length_b 5.5362
_cell_length_c 5.5362
_cell_angle_alpha 90.00
_cell_angle_beta 90.00
_cell_angle_gamma 90.00
loop_
_atom_site_label
_atom_site_type_symbol
_atom_site_fract_x
_atom_site_fract_y
_atom_site_fract_z
Hf1 Hf 0.0000 0.0000 0.0000
Te1 Te 0.0000 0.0000 0.5000
Te2 Te 0.5000 0.5000 0.5000
```

---

Record 7
A relaxed Hf5Te2 crystal, computed with PBE.

N(E_F)   17.58 states/eV/cell
Theoretical density   11.940 g cm⁻³
VASP energy   -8.1953 eV/atom
Raw formation energy   -1.3 eV/f.u.

Structure (CIF):
```
data_Hf5Te2
_chemical_formula_sum 'Hf20 Te8'
_space_group_name_H-M_alt 'C 1 2/c 1'
_space_group_IT_number 15
_space_group_name_Hall '-C 2yc'
_cell_length_a 15.8567
_cell_length_b 5.7905
_cell_length_c 6.9604
_cell_angle_alpha 90.00
_cell_angle_beta 92.64
_cell_angle_gamma 90.00
loop_
_atom_site_label
_atom_site_type_symbol
_atom_site_fract_x
_atom_site_fract_y
_atom_site_fract_z
Hf1 Hf 0.0000 0.1741 0.2500
Hf2 Hf 0.1009 0.3879 0.9412
Hf3 Hf 0.2340 0.1282 0.2884
Te1 Te 0.1098 0.1444 0.5809
```

---

Record 8
A relaxed HfTe3 crystal, computed with PBE.

N(E_F)   2.40 states/eV/cell
Theoretical density   7.622 g cm⁻³
VASP energy   -5.4587 eV/atom
Raw formation energy   -2.5 eV/f.u.

Structure (CIF):
```
data_HfTe3
_chemical_formula_sum 'Hf2 Te6'
_space_group_name_H-M_alt 'P 1 21/m 1'
_space_group_IT_number 11
_space_group_name_Hall '-P 2yb'
_cell_length_a 5.9445
_cell_length_b 3.9456
_cell_length_c 10.5089
_cell_angle_alpha 90.00
_cell_angle_beta 97.15
_cell_angle_gamma 90.00
loop_
_atom_site_label
_atom_site_type_symbol
_atom_site_fract_x
_atom_site_fract_y
_atom_site_fract_z
Hf1 Hf 0.2144 0.2500 0.3390
Te1 Te 0.0598 0.2500 0.8211
Te2 Te 0.2613 0.7500 0.5509
Te3 Te 0.4174 0.7500 0.1777
```

---

Record 9
A relaxed HfTe3 crystal, computed with PBE.

N(E_F)   1.48 states/eV/cell
Theoretical density   7.512 g cm⁻³
VASP energy   -5.2955 eV/atom
Raw formation energy   -1.8 eV/f.u.

Structure (CIF):
```
data_HfTe3
_chemical_formula_sum 'Hf2 Te6'
_space_group_name_H-M_alt 'I m m 2'
_space_group_IT_number 44
_space_group_name_Hall 'I 2 -2'
_cell_length_a 3.8519
_cell_length_b 8.8565
_cell_length_c 7.2739
_cell_angle_alpha 90.00
_cell_angle_beta 90.00
_cell_angle_gamma 90.00
loop_
_atom_site_label
_atom_site_type_symbol
_atom_site_fract_x
_atom_site_fract_y
_atom_site_fract_z
Hf1 Hf 0.0000 0.0000 0.0000
Te1 Te 0.0000 0.3282 0.2797
Te2 Te 0.0000 0.5000 0.7947
```

---

Record 10
A relaxed Hf2Te3 crystal, computed with PBE.

N(E_F)   18.31 states/eV/cell
Theoretical density   8.768 g cm⁻³
VASP energy   -6.6299 eV/atom
Raw formation energy   -3.8 eV/f.u.

Structure (CIF):
```
data_Hf2Te3
_chemical_formula_sum 'Hf12 Te18'
_space_group_name_H-M_alt 'R -3'
_space_group_IT_number 148
_space_group_name_Hall '-R 3'
_cell_length_a 6.9708
_cell_length_b 6.9708
_cell_length_c 19.9753
_cell_angle_alpha 90.00
_cell_angle_beta 90.00
_cell_angle_gamma 120.00
loop_
_atom_site_label
_atom_site_type_symbol
_atom_site_fract_x
_atom_site_fract_y
_atom_site_fract_z
Hf1 Hf 0.0000 0.0000 0.0000
Hf2 Hf 0.0000 0.0000 0.1603
Hf3 Hf 0.0000 0.0000 0.5000
Te1 Te 0.0026 0.6537 0.9213
```

---

Record 11
A relaxed Hf2Te3 crystal, computed with PBE.

N(E_F)   17.86 states/eV/cell
Theoretical density   8.498 g cm⁻³
VASP energy   -6.5631 eV/atom
Raw formation energy   -3.5 eV/f.u.

Structure (CIF):
```
data_Hf2Te3
_chemical_formula_sum 'Hf12 Te18'
_space_group_name_H-M_alt 'R -3 c'
_space_group_IT_number 167
_space_group_name_Hall '-R 3 2"c'
_cell_length_a 7.1309
_cell_length_b 7.1309
_cell_length_c 19.6959
_cell_angle_alpha 90.00
_cell_angle_beta 90.00
_cell_angle_gamma 120.00
loop_
_atom_site_label
_atom_site_type_symbol
_atom_site_fract_x
_atom_site_fract_y
_atom_site_fract_z
Hf1 Hf 0.0000 0.0000 0.1716
Te1 Te 0.0000 0.3428 0.2500
```

---

Record 12
A relaxed HfTe5 crystal, computed with PBE.

N(E_F)   2.11 states/eV/cell
Theoretical density   6.183 g cm⁻³
VASP energy   -4.7302 eV/atom
Raw formation energy   -2.7 eV/f.u.

Structure (CIF):
```
data_HfTe5
_chemical_formula_sum 'Hf4 Te20'
_space_group_name_H-M_alt 'C m c m'
_space_group_IT_number 63
_space_group_name_Hall '-C 2c 2'
_cell_length_a 4.0191
_cell_length_b 15.7603
_cell_length_c 13.8475
_cell_angle_alpha 90.00
_cell_angle_beta 90.00
_cell_angle_gamma 90.00
loop_
_atom_site_label
_atom_site_type_symbol
_atom_site_fract_x
_atom_site_fract_y
_atom_site_fract_z
Hf1 Hf 0.0000 0.1884 0.2500
Te1 Te 0.0000 0.1711 0.7500
Te2 Te 0.0000 0.2869 0.0661
Te3 Te 0.0000 0.4173 0.6496
```